# 1
{
  "formula": "Pm3Sm2DyAs6",
  "functional": "PBE",
  "state": "relaxed",
  "cell": [[-3.558, 2.257, 0.054], [-1.202, -2.086, 8.068], [6.691, 6.603, 0.508]],
  "species": ["Pm", "Pm", "Pm", "Sm", "Sm", "Dy", "As", "As", "As", "As", "As", "As"],
  "frac_coords": [[0.500, 0.500, 0.000], [0.833, 0.166, 0.666], [0.167, 0.834, 0.334], [0.834, 0.667, 0.668], [0.166, 0.333, 0.332], [0.500, 0.000, 0.000], [0.335, 0.917, 0.670], [0.667, 0.582, 0.334], [0.665, 0.083, 0.330], [0.000, 0.245, 0.000], [0.000, 0.755, 0.000], [0.333, 0.418, 0.666]],
  "m_tot_mub_per_cell": 0.0,
  "e_form_mev_per_atom": -1526,
  "spacegroup": "No. 12"
}

# 2
{
  "formula": "Mo4As2Au",
  "functional": "PBE",
  "state": "relaxed",
  "cell": [[4.889, 0.000, 0.000], [0.000, 4.889, 0.000], [2.444, 2.444, 6.518]],
  "species": ["Mo", "Mo", "Mo", "Mo", "Au", "As", "As"],
  "frac_coords": [[0.797, 0.797, 0.407], [0.203, 0.203, 0.593], [0.000, 0.500, 0.000], [0.500, 0.000, 0.000], [0.000, 0.000, 0.000], [0.605, 0.605, 0.790], [0.395, 0.395, 0.210]],
  "m_tot_mub_per_cell": 6.1,
  "e_form_mev_per_atom": 1505,
  "spacegroup": "No. 139"
}